1.
The following is a PBE calculation of a geometry-optimized La2Zn5Rh structure, from Alexandria.

a = 4.349 Å, b = 8.485 Å, c = 9.201 Å
α = 90.00°, β = 90.00°, γ = 104.85°
Sites, in units of the cell vectors:
1 La 0.188 0.376 0.250
2 La 0.000 0.000 0.500
3 La 0.812 0.624 0.750
4 La 0.000 0.000 0.000
5 Rh 0.440 0.880 0.750
6 Rh 0.560 0.120 0.250
7 Zn 0.190 0.379 0.888
8 Zn 0.348 0.696 0.985
9 Zn 0.652 0.304 0.485
10 Zn 0.403 0.806 0.250
11 Zn 0.597 0.194 0.750
12 Zn 0.348 0.696 0.515
13 Zn 0.810 0.621 0.388
14 Zn 0.652 0.304 0.015
15 Zn 0.190 0.379 0.612
16 Zn 0.810 0.621 0.112

Output
Calculated formation energy ... -0.41 eV per atom
VASP energy ... -3.36 eV per atom
Calculated density ... 7.16 Mg/m³

***

2.
The following is a PBE calculation of a geometry-optimized LaZn2Rh structure, from Alexandria.

a = 4.427 Å, b = 4.427 Å, c = 5.583 Å
α = 66.44°, β = 66.44°, γ = 59.76°
Sites, in units of the cell vectors:
1 Zn 0.706 0.706 0.881
2 Zn 0.984 0.984 0.047
3 La 0.505 0.505 0.488
4 Rh 0.304 0.304 0.084

Output
Calculated formation energy ... -0.49 eV per atom
VASP energy ... -4.19 eV per atom
Calculated density ... 7.38 Mg/m³

***

3.
The following is a PBE calculation of a geometry-optimized La2ZnRh2 structure, from Alexandria.

a = 5.778 Å, b = 7.323 Å, c = 7.283 Å
α = 120.18°, β = 113.37°, γ = 90.00°
Sites, in units of the cell vectors:
1 Zn 0.750 0.500 0.000
2 Zn 0.250 0.500 0.000
3 Rh 0.390 0.636 0.779
4 Rh 0.110 0.857 0.221
5 Rh 0.610 0.364 0.221
6 Rh 0.890 0.143 0.779
7 La 0.354 0.023 0.707
8 La 0.646 0.977 0.293
9 La 0.146 0.316 0.293
10 La 0.854 0.684 0.707

Output
Calculated formation energy ... -0.60 eV per atom
VASP energy ... -5.76 eV per atom
Calculated density ... 7.70 Mg/m³

***

4.
The following is a PBE calculation of a geometry-optimized LaZn2Rh structure, from Alexandria.

a = 3.257 Å, b = 3.257 Å, c = 7.148 Å
α = 90.00°, β = 90.00°, γ = 90.00°
Sites, in units of the cell vectors:
1 Zn 0.000 0.000 0.566
2 Zn 0.000 0.000 0.934
3 La 0.500 0.500 0.250
4 Rh 0.500 0.500 0.750

Output
Calculated formation energy ... -0.33 eV per atom
VASP energy ... -4.04 eV per atom
Calculated density ... 8.16 Mg/m³

***

5.
The following is a PBE calculation of a geometry-optimized LaZn3Rh2 structure, from Alexandria.

a = 4.005 Å, b = 8.044 Å, c = 8.102 Å
α = 117.75°, β = 90.00°, γ = 104.42°
Sites, in units of the cell vectors:
1 Zn 0.040 0.080 0.382
2 Zn 0.315 0.630 0.536
3 Zn 0.960 0.920 0.618
4 Zn 0.402 0.804 0.316
5 Zn 0.685 0.370 0.464
6 Zn 0.598 0.196 0.684
7 Rh 0.794 0.588 0.305
8 Rh 0.515 0.031 0.171
9 Rh 0.485 0.969 0.829
10 Rh 0.206 0.412 0.695
11 La 0.146 0.292 0.061
12 La 0.854 0.708 0.939

Output
Calculated formation energy ... -0.45 eV per atom
VASP energy ... -4.36 eV per atom
Calculated density ... 8.10 Mg/m³

***

6.
The following is a PBE calculation of a geometry-optimized La2ZnRh3 structure, from Alexandria.

a = 4.413 Å, b = 5.296 Å, c = 6.406 Å
α = 114.42°, β = 110.15°, γ = 90.00°
Sites, in units of the cell vectors:
1 Rh 0.625 0.625 0.250
2 Rh 0.000 0.000 0.000
3 Rh 0.375 0.375 0.750
4 Zn 0.000 0.500 0.000
5 La 0.318 0.818 0.635
6 La 0.682 0.182 0.365

Output
Calculated formation energy ... -0.45 eV per atom
VASP energy ... -5.98 eV per atom
Polymorph energy (0 for the lowest one) ... 218 meV per atom
Calculated density ... 8.58 Mg/m³

***

7.
The following is a PBE calculation of a geometry-optimized La2Zn12Rh5 structure, from Alexandria.

a = 6.870 Å, b = 6.870 Å, c = 6.870 Å
α = 83.48°, β = 83.48°, γ = 83.48°
Sites, in units of the cell vectors:
1 Zn 0.715 0.000 0.285
2 Zn 0.000 0.285 0.715
3 Zn 0.655 0.153 0.655
4 Zn 0.285 0.000 0.715
5 Zn 0.715 0.285 0.000
6 Zn 0.847 0.345 0.345
7 Zn 0.153 0.655 0.655
8 Zn 0.345 0.847 0.345
9 Zn 0.345 0.345 0.847
10 Zn 0.000 0.715 0.285
11 Zn 0.655 0.655 0.153
12 Zn 0.285 0.715 0.000
13 La 0.323 0.323 0.323
14 La 0.677 0.677 0.677
15 Rh 0.899 0.899 0.899
16 Rh 0.101 0.101 0.101
17 Rh 0.000 0.500 0.000
18 Rh 0.000 0.000 0.500
19 Rh 0.500 0.000 0.000

Output
Calculated formation energy ... -0.39 eV per atom
VASP energy ... -3.65 eV per atom
Calculated density ... 8.23 Mg/m³

***

8.
The following is a PBE calculation of a geometry-optimized LaZn2Rh structure, from Alexandria.

a = 9.296 Å, b = 9.296 Å, c = 9.296 Å
α = 19.56°, β = 19.56°, γ = 19.56°
Each line ends with the local moment (μB).
Sites, in units of the cell vectors:
1 Zn 0.016 0.016 0.016  0.00
2 Zn 0.484 0.484 0.484  0.00
3 Rh 0.750 0.750 0.750  -0.03
4 La 0.250 0.250 0.250  -0.39

Output
Calculated formation energy ... 0.00 eV per atom
VASP energy ... -3.70 eV per atom
Calculated density ... 7.86 Mg/m³

***

9.
The following is a PBE calculation of a geometry-optimized La6Zn2Rh structure, from Alexandria.

a = 3.834 Å, b = 8.893 Å, c = 8.893 Å
α = 120.01°, β = 90.00°, γ = 90.00°
Sites, in units of the cell vectors:
1 Zn 0.000 0.666 0.333
2 Zn 0.000 0.333 0.666
3 La 0.500 0.591 0.000
4 La 0.000 0.754 0.754
5 La 0.000 0.000 0.246
6 La 0.500 0.000 0.591
7 La 0.000 0.246 0.000
8 La 0.500 0.409 0.409
9 Rh 0.500 0.000 0.000

Output
Calculated formation energy ... -0.31 eV per atom
VASP energy ... -4.70 eV per atom
Polymorph energy (0 for the lowest one) ... 0 meV per atom
Calculated density ... 6.75 Mg/m³

***

10.
The following is a PBE calculation of a geometry-optimized La2ZnRh2 structure, from Alexandria.

a = 5.548 Å, b = 5.548 Å, c = 5.563 Å
α = 60.09°, β = 60.09°, γ = 90.00°
Sites, in units of the cell vectors:
1 Rh 0.676 0.676 0.648
2 Rh 0.324 0.324 0.352
3 La 0.750 0.250 0.500
4 La 0.250 0.750 0.500
5 Zn 0.000 0.000 0.000

Output
Calculated formation energy ... -0.55 eV per atom
VASP energy ... -5.71 eV per atom
Calculated density ... 7.51 Mg/m³

***

11.
The following is a PBE calculation of a geometry-optimized LaZn2Rh structure, from Alexandria.

a = 4.569 Å, b = 4.569 Å, c = 5.347 Å
α = 71.51°, β = 71.51°, γ = 52.60°
Sites, in units of the cell vectors:
1 Zn 0.963 0.963 0.128
2 Zn 0.537 0.537 0.372
3 Rh 0.250 0.250 0.250
4 La 0.750 0.750 0.750

Output
Calculated formation energy ... -0.43 eV per atom
VASP energy ... -4.13 eV per atom
Calculated density ... 7.46 Mg/m³

***

12.
The following is a PBE calculation of a geometry-optimized LaZn9Rh2 structure, from Alexandria.

a = 3.046 Å, b = 8.758 Å, c = 8.758 Å
α = 120.00°, β = 90.00°, γ = 90.00°
Sites, in units of the cell vectors:
1 Zn 0.000 0.000 0.500
2 Zn 0.000 0.500 0.500
3 Zn 0.500 0.380 0.190
4 Zn 0.500 0.190 0.810
5 Zn 0.500 0.190 0.380
6 Zn 0.000 0.500 0.000
7 Zn 0.500 0.620 0.810
8 Zn 0.500 0.810 0.620
9 Zn 0.500 0.810 0.190
10 Rh 0.000 0.333 0.667
11 Rh 0.000 0.667 0.333
12 La 0.000 0.000 0.000

Output
Calculated formation energy ... -0.25 eV per atom
VASP energy ... -2.84 eV per atom
Polymorph energy (0 for the lowest one) ... 113 meV per atom
Calculated density ... 7.66 Mg/m³

***

13.
The following is a PBE calculation of a geometry-optimized LaZn2Rh structure, from Alexandria.

a = 4.794 Å, b = 4.794 Å, c = 4.794 Å
α = 60.00°, β = 60.00°, γ = 60.00°
Sites, in units of the cell vectors:
1 Zn 0.250 0.250 0.250
2 Zn 0.750 0.750 0.750
3 Rh 0.000 0.000 0.000
4 La 0.500 0.500 0.500

Output
Calculated formation energy ... -0.27 eV per atom
VASP energy ... -3.97 eV per atom
Calculated density ... 7.94 Mg/m³

***

14.
The following is a PBE calculation of a geometry-optimized La2Zn3Rh structure, from Alexandria.

a = 3.879 Å, b = 4.518 Å, c = 7.794 Å
α = 90.00°, β = 90.00°, γ = 90.00°
Sites, in units of the cell vectors:
1 Zn 0.500 0.000 0.831
2 Zn 0.500 0.000 0.162
3 Zn 0.500 0.500 0.668
4 La 0.000 0.500 0.030
5 La 0.000 0.000 0.479
6 Rh 0.500 0.500 0.330

Output
Calculated formation energy ... -0.49 eV per atom
VASP energy ... -3.99 eV per atom
Calculated density ... 7.01 Mg/m³

***

15.
The following is a PBE calculation of a geometry-optimized LaZn8Rh4 structure, from Alexandria.

a = 5.623 Å, b = 6.736 Å, c = 6.736 Å
α = 79.97°, β = 65.33°, γ = 65.33°
Sites, in units of the cell vectors:
1 Zn 0.500 0.228 0.772
2 Zn 0.655 0.345 0.345
3 Zn 0.500 0.772 0.228
4 Zn 0.000 0.655 0.345
5 Zn 0.345 0.655 0.655
6 Zn 0.272 0.228 0.228
7 Zn 0.000 0.345 0.655
8 Zn 0.728 0.772 0.772
9 Rh 0.000 0.500 0.000
10 Rh 0.500 0.000 0.500
11 Rh 0.500 0.500 0.000
12 Rh 0.000 0.000 0.500
13 La 0.000 0.000 0.000

Output
Calculated formation energy ... -0.42 eV per atom
VASP energy ... -3.85 eV per atom
Calculated density ... 8.46 Mg/m³

***

16.
The following is a PBE calculation of a geometry-optimized La2Zn3Rh2 structure, from Alexandria.

a = 4.143 Å, b = 5.424 Å, c = 7.493 Å
α = 111.14°, β = 90.00°, γ = 112.45°
Sites, in units of the cell vectors:
1 Zn 0.500 0.000 0.000
2 Zn 0.356 0.711 0.557
3 Zn 0.644 0.289 0.443
4 La 0.860 0.720 0.237
5 La 0.140 0.280 0.763
6 Rh 0.867 0.734 0.804
7 Rh 0.133 0.266 0.196

Output
Calculated formation energy ... -0.61 eV per atom
VASP energy ... -4.66 eV per atom
Calculated density ... 7.88 Mg/m³

***

17.
The following is a PBE calculation of a geometry-optimized LaZn3Rh2 structure, from Alexandria.

a = 5.777 Å, b = 6.163 Å, c = 6.163 Å
α = 95.60°, β = 90.00°, γ = 90.00°
Sites, in units of the cell vectors:
1 Rh 0.500 0.233 0.767
2 Rh 0.000 0.767 0.233
3 Rh 0.500 0.767 0.233
4 Rh 0.000 0.233 0.767
5 Zn 0.250 0.974 0.974
6 Zn 0.750 0.026 0.026
7 Zn 0.750 0.092 0.441
8 Zn 0.250 0.559 0.908
9 Zn 0.750 0.441 0.092
10 Zn 0.250 0.908 0.559
11 La 0.250 0.350 0.350
12 La 0.750 0.650 0.650

Output
Calculated formation energy ... -0.51 eV per atom
VASP energy ... -4.42 eV per atom
Calculated density ... 8.23 Mg/m³

***

18.
The following is a PBE calculation of a geometry-optimized La3Zn9Rh2 structure, from Alexandria.

a = 4.484 Å, b = 8.220 Å, c = 8.220 Å
α = 70.71°, β = 74.17°, γ = 74.17°
Sites, in units of the cell vectors:
1 Zn 0.344 0.012 0.300
2 Zn 0.656 0.700 0.988
3 Zn 0.123 0.159 0.595
4 Zn 0.656 0.988 0.700
5 Zn 0.877 0.841 0.405
6 Zn 0.877 0.405 0.841
7 Zn 0.000 0.500 0.500
8 Zn 0.123 0.595 0.159
9 Zn 0.344 0.300 0.012
10 La 0.304 0.696 0.696
11 La 0.000 0.000 0.000
12 La 0.696 0.304 0.304
13 Rh 0.500 0.673 0.327
14 Rh 0.500 0.327 0.673

Output
Calculated formation energy ... -0.42 eV per atom
VASP energy ... -3.34 eV per atom
Calculated density ... 7.46 Mg/m³

***

19.
The following is a PBE calculation of a geometry-optimized La2ZnRh2 structure, from Alexandria.

a = 4.043 Å, b = 4.043 Å, c = 8.141 Å
α = 75.62°, β = 75.62°, γ = 90.00°
Sites, in units of the cell vectors:
1 Zn 0.000 0.000 0.000
2 La 0.622 0.622 0.757
3 La 0.378 0.378 0.243
4 Rh 0.250 0.750 0.500
5 Rh 0.750 0.250 0.500

Output
Calculated formation energy ... -0.34 eV per atom
VASP energy ... -5.50 eV per atom
Calculated density ... 7.32 Mg/m³

***

20.
The following is a PBE calculation of a geometry-optimized La3ZnRh8 structure, from Alexandria.

a = 5.390 Å, b = 5.390 Å, c = 9.330 Å
α = 73.21°, β = 73.21°, γ = 60.00°
Sites, in units of the cell vectors:
1 La 0.007 0.007 0.978
2 La 0.494 0.494 0.517
3 La 0.624 0.624 0.129
4 Rh 0.063 0.563 0.811
5 Rh 0.060 0.060 0.321
6 Rh 0.311 0.311 0.067
7 Rh 0.811 0.811 0.567
8 Rh 0.563 0.563 0.811
9 Rh 0.563 0.063 0.811
10 Rh 0.060 0.559 0.321
11 Rh 0.559 0.060 0.321
12 Zn 0.134 0.134 0.597

Output
Calculated formation energy ... -0.52 eV per atom
VASP energy ... -6.76 eV per atom
Calculated density ... 9.80 Mg/m³